(1)
The following is a PBE calculation of NiSn2Ir after structural relaxation, from Alexandria.

a = 3.2068 Å, b = 3.2068 Å, c = 9.2203 Å
α = 79.99°, β = 79.99°, γ = 60.00°
Positions (direct):
Ir  0.5000  0.5000  0.5000
Sn  0.0914  0.0914  0.7258
Sn  0.9086  0.9086  0.2742
Ni  0.0000  0.0000  0.0000

Values from the calculation:
Symmetry ... R-3m (166)
E_tot ... -5.3573 eV per atom

(2)
The following is a PBE calculation of NiSnIr after structural relaxation, from Alexandria.

a = 2.9512 Å, b = 4.2660 Å, c = 4.2660 Å
α = 120.00°, β = 90.00°, γ = 90.00°
Positions (direct):
Sn  0.5749  0.6667  0.3333
Ni  0.4281  0.3333  0.6667
Ir  0.9970  0.0000  0.0000

Values from the calculation:
Symmetry ... P3m1 (156)
E_tot ... -6.1591 eV per atom

(3)
The following is a PBE calculation of Ni2Sn6Ir after structural relaxation, from Alexandria.

a = 5.8882 Å, b = 6.3566 Å, c = 6.3566 Å
α = 120.00°, β = 90.00°, γ = 90.00°
Positions (direct):
Sn  0.7699  0.0000  0.3592
Sn  0.2301  0.3592  0.3592
Ni  0.5000  0.6667  0.3333
Sn  0.7699  0.3592  0.0000
Sn  0.2301  0.0000  0.6408
Sn  0.7699  0.6408  0.6408
Ni  0.5000  0.3333  0.6667
Sn  0.2301  0.6408  0.0000
Ir  0.0000  0.0000  0.0000

Values from the calculation:
Symmetry ... P-31m (162)
E_tot ... -5.0219 eV per atom

(4)
The following is a PBE calculation of Ni2SnIr after structural relaxation, from Alexandria.

a = 3.7878 Å, b = 3.7878 Å, c = 9.2586 Å
α = 78.20°, β = 78.20°, γ = 90.00°
Positions (direct):
Ni  0.3750  0.3419  0.7500
Sn  0.2500  0.7500  0.5000
Ni  0.6581  0.1250  0.2500
Ir  0.0000  0.0000  0.0000
Ni  0.8750  0.9081  0.7500
Ir  0.7500  0.2500  0.5000
Sn  0.5000  0.5000  0.0000
Ni  0.0919  0.6250  0.2500

Values from the calculation:
Symmetry ... I-42d (122)
E_tot ... -5.8095 eV per atom

Formation energy from the elements (meV/atom)
305; 56; -84; 297